# Mg14NbSb, relaxed, DFT PBE
# * E above lowest polymorph: 0.203 eV/f.u.
# * density of states at the Fermi level: 0.526 states/eV/atom
# * E_form (uncorrected): 32 meV/atom
# * calculated density: 2.60 Mg/m³
# * electronic total energy: -2.251 eV/atom
data_Mg14NbSb
_cell_length_a 10.3557
_cell_length_b 6.2237
_cell_length_c 10.9869
_cell_angle_alpha 90.00
_cell_angle_beta 90.00
_cell_angle_gamma 90.00
_symmetry_space_group_name_H-M 'A m m 2'
_symmetry_Int_Tables_number 38
loop_
_symmetry_equiv_pos_as_xyz
'x,y,z'
'-x,-y,z'
'-x,y,z'
'x,-y,z'
'x,y+1/2,z+1/2'
'-x,-y+1/2,z+1/2'
'-x,y+1/2,z+1/2'
'x,-y+1/2,z+1/2'
loop_
_atom_site_label
_atom_site_type_symbol
_atom_site_fract_x
_atom_site_fract_y
_atom_site_fract_z
_atom_site_occupancy
Mg1 Mg 0.0000 0.0000 0.0000 1
Mg2 Mg 0.0000 0.0000 0.4992 1
Mg3 Mg 0.0000 0.2484 0.2506 1
Mg4 Mg 0.2453 0.0000 0.6671 1
Mg5 Mg 0.2546 0.0000 0.1610 1
Mg6 Mg 0.2547 0.2444 0.9161 1
Mg7 Mg 0.5000 0.2489 0.2488 1
Nb1 Nb 0.5000 0.0000 0.9976 1
Sb1 Sb 0.5000 0.0000 0.5046 1